! Ce3Ga4Pt2 | Alexandria | PBE | relaxed; values from VASP
! size of the total moment = 1.70 μB/f.u.
! ΔH_f (0 K) = -877 meV/atom
! symmetry = C2/m
&SYSTEM
  ibrav = 0, nat = 9, ntyp = 3
/
ATOMIC_SPECIES
Ce 140.12 Ce.upf
Ga 69.72 Ga.upf
Pt 195.08 Pt.upf
CELL_PARAMETERS angstrom
-2.292 -3.769 -0.646
1.292 -2.541 -5.137
5.555 -6.231 1.255
ATOMIC_POSITIONS crystal
Ce 0.319 0.716 0.645
Ce 0.000 0.000 0.000
Ce 0.681 0.284 0.355
Ga 0.259 0.404 0.079
Ga 0.741 0.596 0.921
Ga 0.018 0.321 0.642
Ga 0.982 0.679 0.358
Pt 0.398 0.932 0.271
Pt 0.602 0.068 0.729



! Ce3GaPt8 | Alexandria | PBE | relaxed; values from VASP
! size of the total moment = 1.52 μB/f.u.
! ΔH_f (0 K) = -929 meV/atom
! symmetry = R3m
&SYSTEM
  ibrav = 0, nat = 12, ntyp = 3
/
ATOMIC_SPECIES
Ce 140.12 Ce.upf
Ga 69.72 Ga.upf
Pt 195.08 Pt.upf
CELL_PARAMETERS angstrom
-5.015 -2.125 0.409
-1.612 -2.315 4.677
-5.308 6.374 4.514
ATOMIC_POSITIONS crystal
Ce 0.620 0.620 0.139
Ce 0.011 0.011 0.968
Ce 0.491 0.491 0.526
Ga 0.144 0.144 0.568
Pt 0.562 0.057 0.820
Pt 0.060 0.564 0.316
Pt 0.562 0.562 0.820
Pt 0.060 0.060 0.316
Pt 0.810 0.810 0.571
Pt 0.310 0.310 0.069
Pt 0.057 0.562 0.820
Pt 0.564 0.060 0.316



! CeGa4Pt2 | Alexandria | PBE | relaxed; values from VASP
! size of the total moment = 0.86 μB/f.u.
! E above lowest polymorph = 0.147 eV per atom
! ΔH_f (0 K) = -670 meV/atom
! symmetry = P4_2/mnm
&SYSTEM
  ibrav = 0, nat = 14, ntyp = 3
/
ATOMIC_SPECIES
Ce 140.12 Ce.upf
Ga 69.72 Ga.upf
Pt 195.08 Pt.upf
CELL_PARAMETERS angstrom
4.384 0.000 0.000
0.000 7.701 0.000
0.000 0.000 7.701
ATOMIC_POSITIONS crystal
Ce 0.500 0.000 0.000
Ce 0.000 0.500 0.500
Ga 0.000 0.090 0.337
Ga 0.000 0.910 0.663
Ga 0.500 0.163 0.590
Ga 0.500 0.837 0.410
Ga 0.500 0.410 0.837
Ga 0.500 0.590 0.163
Ga 0.000 0.337 0.090
Ga 0.000 0.663 0.910
Pt 0.000 0.215 0.785
Pt 0.000 0.785 0.215
Pt 0.500 0.715 0.715
Pt 0.500 0.285 0.285



! Ce2GaPt5 | Alexandria | PBE | relaxed; values from VASP
! size of the total moment = 0.86 μB/f.u.
! ΔH_f (0 K) = -863 meV/atom
! symmetry = I4mm
&SYSTEM
  ibrav = 0, nat = 8, ntyp = 3
/
ATOMIC_SPECIES
Ce 140.12 Ce.upf
Ga 69.72 Ga.upf
Pt 195.08 Pt.upf
CELL_PARAMETERS angstrom
-2.954 4.225 -2.999
-1.709 -5.654 -0.823
-0.690 -0.155 5.922
ATOMIC_POSITIONS crystal
Ce 0.500 0.256 0.756
Ce 0.500 0.756 0.256
Ga 0.000 0.908 0.908
Pt 0.451 0.739 0.739
Pt 0.000 0.739 0.288
Pt 0.000 0.288 0.739
Pt 0.549 0.288 0.288
Pt 0.000 0.249 0.249



! Ce2Ga3Pt5 | Alexandria | PBE | relaxed; values from VASP
! size of the total moment = 0.42 μB/f.u.
! E above lowest polymorph = 0.015 eV per atom
! ΔH_f (0 K) = -900 meV/atom
! symmetry = Cmc2_1
&SYSTEM
  ibrav = 0, nat = 20, ntyp = 3
/
ATOMIC_SPECIES
Ce 140.12 Ce.upf
Ga 69.72 Ga.upf
Pt 195.08 Pt.upf
CELL_PARAMETERS angstrom
-4.181 0.338 -0.351
-0.115 -5.726 -4.157
0.654 -7.466 10.266
ATOMIC_POSITIONS crystal
Ce 0.479 0.705 0.958
Ce 0.175 0.776 0.351
Ce 0.825 0.276 0.649
Ce 0.521 0.205 0.042
Ga 0.782 0.823 0.564
Ga 0.625 0.434 0.249
Ga 0.050 0.880 0.101
Ga 0.218 0.323 0.436
Ga 0.950 0.380 0.899
Ga 0.375 0.934 0.751
Pt 0.398 0.423 0.795
Pt 0.299 0.594 0.598
Pt 0.701 0.094 0.402
Pt 0.119 0.194 0.239
Pt 0.277 0.027 0.554
Pt 0.950 0.008 0.901
Pt 0.723 0.527 0.446
Pt 0.881 0.694 0.761
Pt 0.050 0.508 0.099
Pt 0.602 0.923 0.205



! CeGa3Pt3 | Alexandria | PBE | relaxed; values from VASP
! size of the total moment = 1.34 μB/f.u.
! E above lowest polymorph = 0.295 eV per atom
! ΔH_f (0 K) = -440 meV/atom
! symmetry = Pm-3n
&SYSTEM
  ibrav = 0, nat = 14, ntyp = 3
/
ATOMIC_SPECIES
Ga 69.72 Ga.upf
Ce 140.12 Ce.upf
Pt 195.08 Pt.upf
CELL_PARAMETERS angstrom
-1.862 -1.895 -6.327
-6.309 -1.434 2.287
-1.954 6.438 -1.353
ATOMIC_POSITIONS crystal
Ga 0.250 0.000 0.500
Ga 0.000 0.500 0.250
Ga 0.500 0.750 0.000
Ga 0.750 0.000 0.500
Ga 0.000 0.500 0.750
Ga 0.500 0.250 0.000
Ce 0.500 0.500 0.500
Ce 0.000 0.000 0.000
Pt 0.000 0.250 0.500
Pt 0.000 0.750 0.500
Pt 0.500 0.000 0.750
Pt 0.750 0.500 0.000
Pt 0.500 0.000 0.250
Pt 0.250 0.500 0.000



! Ce4GaPt3 | Alexandria | PBE | relaxed; values from VASP
! size of the total moment = 2.80 μB/f.u.
! ΔH_f (0 K) = -926 meV/atom
! symmetry = Pmm2
&SYSTEM
  ibrav = 0, nat = 8, ntyp = 3
/
ATOMIC_SPECIES
Pt 195.08 Pt.upf
Ga 69.72 Ga.upf
Ce 140.12 Ce.upf
CELL_PARAMETERS angstrom
-1.961 0.057 -3.385
-3.803 -0.352 2.197
-0.689 11.081 0.585
ATOMIC_POSITIONS crystal
Pt 0.000 0.500 0.594
Pt 0.000 0.000 0.408
Pt 0.500 0.000 0.918
Ga 0.500 0.500 0.076
Ce 0.500 0.500 0.366
Ce 0.000 0.500 0.858
Ce 0.000 0.000 0.143
Ce 0.500 0.000 0.637



! CeGa6Pt12 | Alexandria | PBE | relaxed; values from VASP
! size of the total moment = 0.67 μB/f.u.
! ΔH_f (0 K) = -566 meV/atom
! symmetry = R-3m
&SYSTEM
  ibrav = 0, nat = 19, ntyp = 3
/
ATOMIC_SPECIES
Ce 140.12 Ce.upf
Ga 69.72 Ga.upf
Pt 195.08 Pt.upf
CELL_PARAMETERS angstrom
-1.506 -6.699 2.492
5.235 2.691 4.324
-5.962 4.046 1.200
ATOMIC_POSITIONS crystal
Ce 0.000 0.000 0.000
Ga 0.694 0.273 0.273
Ga 0.273 0.273 0.694
Ga 0.273 0.694 0.273
Ga 0.727 0.727 0.306
Ga 0.306 0.727 0.727
Ga 0.727 0.306 0.727
Pt 0.875 0.125 0.500
Pt 0.860 0.620 0.620
Pt 0.620 0.620 0.860
Pt 0.380 0.140 0.380
Pt 0.380 0.380 0.140
Pt 0.140 0.380 0.380
Pt 0.125 0.500 0.875
Pt 0.500 0.875 0.125
Pt 0.125 0.875 0.500
Pt 0.875 0.500 0.125
Pt 0.500 0.125 0.875
Pt 0.620 0.860 0.620



! CeGa2Pt7 | Alexandria | PBE | relaxed; values from VASP
! size of the total moment = 0.00 μB/f.u.
! ΔH_f (0 K) = -345 meV/atom
! symmetry = Cmmm
&SYSTEM
  ibrav = 0, nat = 10, ntyp = 3
/
ATOMIC_SPECIES
Ce 140.12 Ce.upf
Ga 69.72 Ga.upf
Pt 195.08 Pt.upf
CELL_PARAMETERS angstrom
4.515 0.000 0.000
0.000 7.208 -0.123
0.000 -3.361 6.378
ATOMIC_POSITIONS crystal
Ce 0.000 0.000 0.000
Ga 0.500 0.700 0.300
Ga 0.500 0.300 0.700
Pt 0.000 0.784 0.216
Pt 0.000 0.216 0.784
Pt 0.500 0.076 0.302
Pt 0.500 0.924 0.698
Pt 0.500 0.302 0.076
Pt 0.500 0.698 0.924
Pt 0.500 0.500 0.500



! Ce2Ga3Pt | Alexandria | PBE | relaxed; values from VASP
! size of the total moment = 1.21 μB/f.u.
! E above lowest polymorph = 0.024 eV per atom
! ΔH_f (0 K) = -751 meV/atom
! symmetry = Imm2
&SYSTEM
  ibrav = 0, nat = 6, ntyp = 3
/
ATOMIC_SPECIES
Ce 140.12 Ce.upf
Ga 69.72 Ga.upf
Pt 195.08 Pt.upf
CELL_PARAMETERS angstrom
3.932 0.000 -1.047
-0.311 4.108 -1.167
0.078 0.105 8.202
ATOMIC_POSITIONS crystal
Ce 0.120 0.120 0.240
Ce 0.880 0.380 0.760
Ga 0.706 0.706 0.413
Ga 0.544 0.544 0.088
Ga 0.293 0.793 0.585
Pt 0.457 0.957 0.914



! CeGaPt4 | Alexandria | PBE | relaxed; values from VASP
! size of the total moment = 0.34 μB/f.u.
! ΔH_f (0 K) = -401 meV/atom
! symmetry = I4_1/amd
&SYSTEM
  ibrav = 0, nat = 12, ntyp = 3
/
ATOMIC_SPECIES
Ce 140.12 Ce.upf
Ga 69.72 Ga.upf
Pt 195.08 Pt.upf
CELL_PARAMETERS angstrom
5.310 0.000 0.000
0.000 5.310 0.000
-2.655 -2.655 9.194
ATOMIC_POSITIONS crystal
Ce 0.000 0.000 0.000
Ce 0.750 0.250 0.500
Ga 0.500 0.500 0.000
Ga 0.250 0.750 0.500
Pt 0.614 0.365 0.229
Pt 0.614 0.864 0.729
Pt 0.115 0.864 0.729
Pt 0.614 0.864 0.229
Pt 0.136 0.386 0.271
Pt 0.635 0.386 0.771
Pt 0.136 0.386 0.771
Pt 0.136 0.885 0.271



! CeGaPt6 | Alexandria | PBE | relaxed; values from VASP
! size of the total moment = 0.00 μB/f.u.
! ΔH_f (0 K) = -696 meV/atom
! symmetry = P4/mmm
&SYSTEM
  ibrav = 0, nat = 8, ntyp = 3
/
ATOMIC_SPECIES
Ce 140.12 Ce.upf
Ga 69.72 Ga.upf
Pt 195.08 Pt.upf
CELL_PARAMETERS angstrom
-2.715 3.041 -0.373
-2.928 -2.429 1.511
1.767 2.486 7.422
ATOMIC_POSITIONS crystal
Ce 0.000 0.000 0.000
Ga 0.000 0.000 0.500
Pt 0.500 0.500 0.000
Pt 0.500 0.500 0.500
Pt 0.500 0.000 0.263
Pt 0.500 0.000 0.737
Pt 0.000 0.500 0.263
Pt 0.000 0.500 0.737



! Ce2Ga3Pt2 | Alexandria | PBE | relaxed; values from VASP
! size of the total moment = 0.83 μB/f.u.
! E above lowest polymorph = 0.000 eV per atom
! ΔH_f (0 K) = -857 meV/atom
! symmetry = C2/m
&SYSTEM
  ibrav = 0, nat = 7, ntyp = 3
/
ATOMIC_SPECIES
Ce 140.12 Ce.upf
Ga 69.72 Ga.upf
Pt 195.08 Pt.upf
CELL_PARAMETERS angstrom
4.396 0.000 0.000
-2.198 5.072 0.064
0.000 -2.635 6.231
ATOMIC_POSITIONS crystal
Ce 0.851 0.702 0.221
Ce 0.149 0.298 0.779
Ga 0.500 0.000 0.000
Ga 0.612 0.223 0.433
Ga 0.388 0.777 0.567
Pt 0.853 0.705 0.772
Pt 0.147 0.295 0.228



! Ce5Ga2Pt | Alexandria | PBE | relaxed; values from VASP
! size of the total moment = 1.07 μB/f.u.
! ΔH_f (0 K) = -475 meV/atom
! symmetry = P1
&SYSTEM
  ibrav = 0, nat = 8, ntyp = 3
/
ATOMIC_SPECIES
Ce 140.12 Ce.upf
Ga 69.72 Ga.upf
Pt 195.08 Pt.upf
CELL_PARAMETERS angstrom
-6.108 -4.284 -0.753
1.112 -3.762 6.441
0.610 6.260 -1.264
ATOMIC_POSITIONS crystal
Ce 0.654 0.224 0.958
Ce 0.306 0.241 0.013
Ce 0.750 0.764 0.961
Ce 0.244 0.723 0.997
Ce 0.718 0.728 0.337
Ga 0.167 0.651 0.399
Ga 0.770 0.237 0.566
Pt 0.167 0.209 0.322



! CeGa6Pt3 | Alexandria | PBE | relaxed; values from VASP
! size of the total moment = 0.54 μB/f.u.
! ΔH_f (0 K) = -688 meV/atom
! symmetry = P2_1/m
&SYSTEM
  ibrav = 0, nat = 20, ntyp = 3
/
ATOMIC_SPECIES
Ce 140.12 Ce.upf
Ga 69.72 Ga.upf
Pt 195.08 Pt.upf
CELL_PARAMETERS angstrom
4.346 0.000 0.000
0.000 8.785 -0.884
0.000 1.562 9.369
ATOMIC_POSITIONS crystal
Ce 0.750 0.056 0.706
Ce 0.250 0.944 0.294
Ga 0.750 0.427 0.567
Ga 0.250 0.573 0.433
Ga 0.750 0.893 0.034
Ga 0.250 0.107 0.966
Ga 0.750 0.464 0.097
Ga 0.250 0.536 0.903
Ga 0.750 0.706 0.253
Ga 0.250 0.294 0.747
Ga 0.750 0.165 0.384
Ga 0.250 0.835 0.616
Ga 0.750 0.695 0.785
Ga 0.250 0.305 0.215
Pt 0.750 0.398 0.841
Pt 0.250 0.602 0.159
Pt 0.750 0.727 0.515
Pt 0.250 0.273 0.485
Pt 0.750 0.173 0.104
Pt 0.250 0.827 0.896



! CeGa4Pt6 | Alexandria | PBE | relaxed; values from VASP
! size of the total moment = 0.55 μB/f.u.
! E above lowest polymorph = 0.000 eV per atom
! ΔH_f (0 K) = -790 meV/atom
! symmetry = P-6m2
&SYSTEM
  ibrav = 0, nat = 11, ntyp = 3
/
ATOMIC_SPECIES
Ce 140.12 Ce.upf
Ga 69.72 Ga.upf
Pt 195.08 Pt.upf
CELL_PARAMETERS angstrom
-3.805 -0.666 -0.807
-0.154 -5.327 5.120
-1.615 6.966 1.866
ATOMIC_POSITIONS crystal
Ce 0.000 0.000 0.000
Ga 0.500 0.801 0.602
Ga 0.500 0.398 0.199
Ga 0.500 0.801 0.199
Ga 0.000 0.333 0.667
Pt 0.000 0.533 0.066
Pt 0.500 0.611 0.805
Pt 0.000 0.533 0.467
Pt 0.000 0.934 0.467
Pt 0.500 0.195 0.805
Pt 0.500 0.195 0.389



! CeGa2Pt4 | Alexandria | PBE | relaxed; values from VASP
! size of the total moment = 0.73 μB/f.u.
! E above lowest polymorph = 0.000 eV per atom
! ΔH_f (0 K) = -808 meV/atom
! symmetry = P4_2/mnm
&SYSTEM
  ibrav = 0, nat = 14, ntyp = 3
/
ATOMIC_SPECIES
Ce 140.12 Ce.upf
Ga 69.72 Ga.upf
Pt 195.08 Pt.upf
CELL_PARAMETERS angstrom
4.028 0.000 0.000
0.000 7.866 0.000
0.000 0.000 7.866
ATOMIC_POSITIONS crystal
Ce 0.500 0.000 0.000
Ce 0.000 0.500 0.500
Ga 0.000 0.223 0.777
Ga 0.000 0.777 0.223
Ga 0.500 0.723 0.723
Ga 0.500 0.277 0.277
Pt 0.000 0.081 0.331
Pt 0.000 0.919 0.669
Pt 0.500 0.169 0.581
Pt 0.500 0.831 0.419
Pt 0.500 0.419 0.831
Pt 0.500 0.581 0.169
Pt 0.000 0.331 0.081
Pt 0.000 0.669 0.919



! CeGa5Pt7 | Alexandria | PBE | relaxed; values from VASP
! size of the total moment = 0.30 μB/f.u.
! ΔH_f (0 K) = -643 meV/atom
! symmetry = Imm2
&SYSTEM
  ibrav = 0, nat = 13, ntyp = 3
/
ATOMIC_SPECIES
Ce 140.12 Ce.upf
Ga 69.72 Ga.upf
Pt 195.08 Pt.upf
CELL_PARAMETERS angstrom
5.432 0.000 0.000
2.716 6.306 -0.135
2.716 -0.155 6.305
ATOMIC_POSITIONS crystal
Ce 0.992 0.008 0.008
Ga 0.500 0.002 0.486
Ga 0.011 0.002 0.486
Ga 0.500 0.486 0.002
Ga 0.011 0.486 0.002
Ga 0.725 0.775 0.775
Pt 0.656 0.344 0.344
Pt 0.319 0.681 0.681
Pt 0.988 0.350 0.673
Pt 0.988 0.673 0.350
Pt 0.274 0.226 0.226
Pt 0.517 0.776 0.190
Pt 0.517 0.190 0.776



! CeGaPt4 | Alexandria | PBE | relaxed; values from VASP
! size of the total moment = 0.51 μB/f.u.
! ΔH_f (0 K) = -748 meV/atom
! symmetry = C2/m
&SYSTEM
  ibrav = 0, nat = 12, ntyp = 3
/
ATOMIC_SPECIES
Ce 140.12 Ce.upf
Ga 69.72 Ga.upf
Pt 195.08 Pt.upf
CELL_PARAMETERS angstrom
-5.285 -3.579 0.443
2.282 -5.895 0.355
-1.485 -1.776 5.965
ATOMIC_POSITIONS crystal
Ce 0.178 0.229 0.178
Ce 0.822 0.771 0.822
Ga 0.432 0.793 0.432
Ga 0.568 0.207 0.568
Pt 0.207 0.767 0.207
Pt 0.824 0.562 0.413
Pt 0.784 0.000 0.216
Pt 0.587 0.438 0.176
Pt 0.793 0.233 0.793
Pt 0.176 0.438 0.587
Pt 0.216 0.000 0.784
Pt 0.413 0.562 0.824



! CeGaPt4 | Alexandria | PBE | relaxed; values from VASP
! size of the total moment = 0.64 μB/f.u.
! ΔH_f (0 K) = -778 meV/atom
! symmetry = P-6m2
&SYSTEM
  ibrav = 0, nat = 6, ntyp = 3
/
ATOMIC_SPECIES
Ce 140.12 Ce.upf
Ga 69.72 Ga.upf
Pt 195.08 Pt.upf
CELL_PARAMETERS angstrom
5.507 0.000 0.000
-2.753 4.769 0.000
0.000 0.000 4.267
ATOMIC_POSITIONS crystal
Ce 0.667 0.333 0.000
Ga 0.000 0.000 0.000
Pt 0.333 0.667 0.000
Pt 0.669 0.834 0.500
Pt 0.166 0.834 0.500
Pt 0.166 0.331 0.500